Entry 1:
Pm2Er2Tl5 | PBE | relaxed

Unit cell a=8.154 b=8.183 c=8.549 alpha=99.89 beta=113.28 gamma=91.77
Fractional positions:
Tl 0.343 0.174 0.943
Tl 0.670 0.948 0.080
Pm 0.352 0.848 0.660
Tl 0.672 0.614 0.717
Tl 0.617 0.183 0.709
Tl 0.270 0.757 0.978
Er 0.578 0.510 0.007
Pm 0.022 0.406 0.830
Tl 0.931 0.285 0.134
Tl 0.949 0.629 0.520
Pm 0.008 0.731 0.203
Er 0.605 0.827 0.390
Tl 0.999 0.062 0.514
Er 0.925 0.950 0.840
Tl 0.278 0.063 0.292
Tl 0.336 0.502 0.254
Er 0.264 0.387 0.554
Pm 0.680 0.296 0.373

Summary:
space-group type: P1 (1)
total DFT energy (no corrections): -65.365 eV per cell

=====

Entry 2:
PmEr2Tl | PBE | relaxed

Unit cell a=4.594 b=6.642 c=8.719 alpha=90.00 beta=90.00 gamma=110.22
Fractional positions:
Pm 0.943 0.886 0.250
Tl 0.766 0.532 0.750
Er 0.365 0.730 0.552
Er 0.365 0.730 0.948
Pm 0.057 0.114 0.750
Er 0.635 0.270 0.448
Er 0.635 0.270 0.052
Tl 0.234 0.468 0.250

Summary:
E above lowest polymorph: 79 meV/atom
space-group type: Cmcm (63)
total DFT energy (no corrections): -33.275 eV per cell

=====

Entry 3:
Pm2Er5Tl4 | PBE | relaxed

Unit cell a=3.464 b=8.628 c=14.455 alpha=127.39 beta=96.88 gamma=90.00
Fractional positions:
Er 0.500 0.000 0.000
Pm 0.950 0.246 0.900
Tl 0.288 0.362 0.576
Tl 0.712 0.638 0.424
Er 0.188 0.909 0.377
Er 0.157 0.254 0.314
Er 0.812 0.091 0.623
Tl 0.914 0.561 0.828
Pm 0.050 0.754 0.100
Er 0.843 0.746 0.686
Tl 0.086 0.439 0.172

Summary:
space-group type: C2/m (12)
total DFT energy (no corrections): -41.345 eV per cell

=====

Entry 4:
PmEr7Tl5 | PBE | relaxed

Unit cell a=6.467 b=8.298 c=8.298 alpha=81.64 beta=67.07 gamma=67.07
Each line ends with the local moment (μB).
Fractional positions:
Er 0.639 0.361 0.361  0.11
Tl 0.007 0.483 0.005  0.00
Er 0.272 0.228 0.228  0.04
Er 0.512 0.789 0.186  0.05
Er 0.512 0.186 0.789  0.05
Er 0.327 0.673 0.673  0.09
Tl 0.506 0.005 0.483  0.00
Er 0.996 0.347 0.661  0.06
Er 0.996 0.661 0.347  0.06
Tl 0.506 0.483 0.005  0.00
Pm 0.987 0.013 0.013  0.20
Tl 0.732 0.768 0.768  0.00
Tl 0.007 0.005 0.483  0.00

Summary:
space-group type: Imm2 (44)
total DFT energy (no corrections): -50.321 eV per cell

=====

Number 1: ΔH_f (0 K) -0.247 eV/atom. Number 2: ΔH_f (0 K) -0.099 eV/atom. Number 3: ΔH_f (0 K) 0.040 eV/atom. Number 4: ΔH_f (0 K) -0.138 eV/atom.